[1]
## Tm2HfO4 (PBE)

Data for a relaxed Tm2HfO4 crystal.

abc: 6.533 6.533 6.533
angles: 120.00 90.01 120.00
Positions (direct):
Hf (0.000, 0.000, 0.000)
Hf (0.750, 0.500, 0.250)
O (0.124, 0.249, 0.373)
O (0.626, 0.251, 0.374)
O (0.123, 0.749, 0.374)
O (0.626, 0.749, 0.374)
O (0.124, 0.751, 0.876)
O (0.124, 0.249, 0.876)
O (0.627, 0.751, 0.876)
O (0.626, 0.251, 0.877)
Tm (0.375, 0.750, 0.125)
Tm (0.375, 0.750, 0.625)
Tm (0.875, 0.250, 0.625)
Tm (0.375, 0.250, 0.625)

Values from the calculation:
Symmetry ... No. 227



[2]
## Y2HfO4 (PBE)

Data for a relaxed Y2HfO4 crystal.

abc: 6.640 6.640 6.640
angles: 119.99 90.01 119.99
Positions (direct):
Hf (0.000, 0.000, 0.000)
Hf (0.750, 0.500, 0.250)
O (0.122, 0.243, 0.365)
O (0.115, 0.743, 0.372)
O (0.628, 0.257, 0.372)
O (0.628, 0.743, 0.372)
O (0.122, 0.757, 0.878)
O (0.122, 0.243, 0.878)
O (0.635, 0.757, 0.878)
O (0.628, 0.257, 0.885)
Y (0.375, 0.750, 0.125)
Y (0.375, 0.750, 0.625)
Y (0.375, 0.250, 0.625)
Y (0.875, 0.250, 0.625)

Values from the calculation:
Symmetry ... No. 227



[3]
## YHf2O3 (PBE)

Data for a relaxed YHf2O3 crystal.

abc: 3.289 3.289 7.910
angles: 90.00 90.00 120.00
Positions (direct):
Hf (0.667, 0.333, 0.155)
Hf (0.333, 0.667, 0.845)
O (0.000, 0.000, 0.000)
O (0.333, 0.667, 0.305)
O (0.667, 0.333, 0.695)
Y (0.000, 0.000, 0.500)

Values from the calculation:
Symmetry ... No. 164



[4]
## Y2Hf14O31 (PBE)

Data for a relaxed Y2Hf14O31 crystal.

abc: 10.169 10.193 10.392
angles: 91.15 90.11 90.08
Positions (direct):
Hf (0.995, 0.378, 0.110)
Hf (0.491, 0.875, 0.110)
Hf (0.487, 0.372, 0.110)
Hf (0.758, 0.138, 0.123)
Hf (0.259, 0.632, 0.138)
Hf (0.763, 0.627, 0.141)
Hf (0.256, 0.131, 0.145)
Hf (0.757, 0.374, 0.358)
Hf (0.259, 0.879, 0.360)
Hf (0.491, 0.633, 0.373)
Hf (0.759, 0.864, 0.379)
Hf (0.984, 0.128, 0.389)
Hf (0.994, 0.628, 0.393)
Hf (0.477, 0.146, 0.398)
Hf (0.988, 0.372, 0.610)
Hf (0.004, 0.885, 0.614)
Hf (0.494, 0.373, 0.631)
Hf (0.265, 0.629, 0.637)
Hf (0.761, 0.118, 0.638)
Hf (0.776, 0.638, 0.646)
Hf (0.255, 0.127, 0.646)
Hf (0.258, 0.874, 0.860)
Hf (0.251, 0.383, 0.861)
Hf (0.760, 0.874, 0.865)
Hf (0.491, 0.624, 0.886)
Hf (0.991, 0.131, 0.887)
Hf (0.488, 0.120, 0.893)
Hf (0.997, 0.629, 0.896)
O (0.361, 0.748, 0.004)
O (0.861, 0.257, 0.009)
O (0.849, 0.755, 0.011)
O (0.349, 0.252, 0.012)
O (0.609, 0.537, 0.034)
O (0.092, 0.075, 0.051)
O (0.101, 0.549, 0.054)
O (0.595, 0.040, 0.059)
O (0.176, 0.809, 0.191)
O (0.155, 0.304, 0.193)
O (0.642, 0.276, 0.213)
O (0.648, 0.802, 0.215)
O (0.395, 0.510, 0.233)
O (0.896, 0.503, 0.246)
O (0.402, 0.010, 0.250)
O (0.892, 0.254, 0.253)
O (0.838, 0.012, 0.253)
O (0.399, 0.759, 0.257)
O (0.391, 0.257, 0.259)
O (0.887, 0.750, 0.271)
O (0.653, 0.538, 0.297)
O (0.142, 0.046, 0.298)
O (0.159, 0.576, 0.303)
O (0.094, 0.807, 0.442)
O (0.075, 0.297, 0.446)
O (0.590, 0.318, 0.456)
O (0.626, 0.742, 0.473)
O (0.623, 0.028, 0.483)
O (0.353, 0.016, 0.493)
O (0.868, 0.996, 0.494)
O (0.849, 0.504, 0.495)
O (0.355, 0.755, 0.496)
O (0.404, 0.515, 0.504)
O (0.843, 0.248, 0.504)
O (0.874, 0.755, 0.518)
O (0.361, 0.256, 0.523)
O (0.106, 0.540, 0.547)
O (0.093, 0.058, 0.554)
O (0.167, 0.802, 0.689)
O (0.156, 0.304, 0.693)
O (0.642, 0.267, 0.697)
O (0.667, 0.788, 0.712)
O (0.625, 0.530, 0.739)
O (0.888, 0.999, 0.742)
O (0.381, 0.500, 0.743)
O (0.897, 0.509, 0.743)
O (0.894, 0.246, 0.745)
O (0.383, 0.007, 0.748)
O (0.393, 0.747, 0.761)
O (0.902, 0.753, 0.763)
O (0.390, 0.254, 0.769)
O (0.641, 0.032, 0.788)
O (0.148, 0.044, 0.802)
O (0.158, 0.559, 0.803)
O (0.084, 0.312, 0.935)
O (0.096, 0.801, 0.943)
O (0.595, 0.793, 0.952)
O (0.593, 0.279, 0.962)
O (0.854, 0.014, 0.984)
O (0.365, 0.500, 0.988)
O (0.355, 0.000, 0.997)
O (0.865, 0.511, 0.000)
Y (0.993, 0.891, 0.121)
Y (0.251, 0.393, 0.373)
Y (0.500, 0.880, 0.614)
Y (0.751, 0.382, 0.861)

Values from the calculation:
Symmetry ... No. 1



[5]
## YHfO3 (PBE)

Data for a relaxed YHfO3 crystal.

abc: 5.507 5.507 5.895
angles: 62.15 62.15 60.00
Positions (direct):
Hf (0.846, 0.846, 0.462)
Hf (0.154, 0.154, 0.538)
O (0.569, 0.178, 0.235)
O (0.018, 0.569, 0.235)
O (0.178, 0.018, 0.235)
O (0.431, 0.822, 0.765)
O (0.822, 0.982, 0.765)
O (0.982, 0.431, 0.765)
Y (0.624, 0.624, 0.129)
Y (0.376, 0.376, 0.871)

Values from the calculation:
Symmetry ... No. 148



[6]
## Y2Hf2O7 (PBE)

Data for a relaxed Y2Hf2O7 crystal.

abc: 7.362 7.362 7.362
angles: 120.00 90.00 120.00
Positions (direct):
Hf (0.000, 0.000, 0.000)
Hf (0.500, 0.000, 0.000)
Hf (0.500, 0.500, 0.000)
Hf (0.500, 0.500, 0.500)
O (0.839, 0.750, 0.089)
O (0.839, 0.177, 0.089)
O (0.411, 0.750, 0.089)
O (0.161, 0.250, 0.339)
O (0.589, 0.250, 0.339)
O (0.589, 0.677, 0.339)
O (0.125, 0.750, 0.375)
O (0.875, 0.250, 0.625)
O (0.411, 0.750, 0.661)
O (0.411, 0.323, 0.661)
O (0.839, 0.750, 0.661)
O (0.161, 0.823, 0.911)
O (0.161, 0.250, 0.911)
O (0.589, 0.250, 0.911)
Y (0.000, 0.500, 0.000)
Y (0.000, 0.000, 0.500)
Y (0.000, 0.500, 0.500)
Y (0.500, 0.000, 0.500)

Values from the calculation:
Symmetry ... No. 227



[7]
## Hf31ZnO63 (PBE)

Data for a relaxed Hf31ZnO63 crystal.

abc: 10.032 10.085 10.429
angles: 90.24 90.24 90.17
Positions (direct):
Hf (0.495, 0.374, 0.105)
Hf (0.992, 0.873, 0.106)
Hf (0.990, 0.375, 0.108)
Hf (0.494, 0.878, 0.111)
Hf (0.760, 0.621, 0.138)
Hf (0.259, 0.126, 0.140)
Hf (0.761, 0.125, 0.140)
Hf (0.256, 0.623, 0.146)
Hf (0.759, 0.877, 0.356)
Hf (0.758, 0.374, 0.359)
Hf (0.259, 0.876, 0.359)
Hf (0.261, 0.372, 0.360)
Hf (0.995, 0.626, 0.388)
Hf (0.993, 0.127, 0.391)
Hf (0.493, 0.124, 0.391)
Hf (0.492, 0.624, 0.394)
Hf (0.994, 0.879, 0.608)
Hf (0.492, 0.876, 0.612)
Hf (0.988, 0.377, 0.613)
Hf (0.493, 0.373, 0.613)
Hf (0.768, 0.631, 0.626)
Hf (0.259, 0.128, 0.640)
Hf (0.258, 0.626, 0.643)
Hf (0.760, 0.130, 0.643)
Hf (0.759, 0.872, 0.858)
Hf (0.251, 0.883, 0.859)
Hf (0.257, 0.374, 0.860)
Hf (0.496, 0.129, 0.890)
Hf (0.985, 0.619, 0.890)
Hf (0.988, 0.126, 0.891)
Hf (0.473, 0.636, 0.901)
O (0.853, 0.747, 0.005)
O (0.356, 0.252, 0.009)
O (0.352, 0.752, 0.012)
O (0.865, 0.242, 0.016)
O (0.593, 0.554, 0.041)
O (0.094, 0.048, 0.055)
O (0.592, 0.053, 0.057)
O (0.087, 0.557, 0.058)
O (0.659, 0.802, 0.192)
O (0.160, 0.803, 0.193)
O (0.660, 0.304, 0.193)
O (0.160, 0.304, 0.194)
O (0.897, 0.001, 0.240)
O (0.895, 0.501, 0.241)
O (0.394, 0.001, 0.241)
O (0.397, 0.500, 0.244)
O (0.895, 0.750, 0.255)
O (0.397, 0.250, 0.258)
O (0.894, 0.252, 0.261)
O (0.396, 0.750, 0.262)
O (0.658, 0.554, 0.305)
O (0.659, 0.052, 0.306)
O (0.161, 0.056, 0.308)
O (0.162, 0.552, 0.310)
O (0.092, 0.806, 0.441)
O (0.591, 0.303, 0.444)
O (0.091, 0.307, 0.445)
O (0.596, 0.799, 0.448)
O (0.858, 0.503, 0.486)
O (0.856, 0.003, 0.490)
O (0.357, 0.001, 0.491)
O (0.355, 0.501, 0.496)
O (0.859, 0.755, 0.504)
O (0.357, 0.250, 0.508)
O (0.854, 0.254, 0.509)
O (0.358, 0.751, 0.512)
O (0.594, 0.050, 0.556)
O (0.091, 0.056, 0.557)
O (0.086, 0.561, 0.561)
O (0.595, 0.549, 0.566)
O (0.163, 0.311, 0.690)
O (0.160, 0.807, 0.690)
O (0.655, 0.299, 0.696)
O (0.649, 0.779, 0.703)
O (0.393, 0.004, 0.739)
O (0.873, 0.505, 0.741)
O (0.892, 0.999, 0.742)
O (0.406, 0.506, 0.750)
O (0.904, 0.249, 0.754)
O (0.895, 0.751, 0.754)
O (0.392, 0.253, 0.759)
O (0.387, 0.757, 0.763)
O (0.656, 0.044, 0.804)
O (0.158, 0.059, 0.806)
O (0.158, 0.553, 0.807)
O (0.087, 0.802, 0.939)
O (0.093, 0.304, 0.943)
O (0.591, 0.302, 0.944)
O (0.589, 0.802, 0.944)
O (0.358, 0.003, 0.990)
O (0.852, 0.496, 0.991)
O (0.854, 0.997, 0.991)
O (0.348, 0.503, 0.997)
Zn (0.762, 0.361, 0.866)

Values from the calculation:
Symmetry ... No. 1



[8]
## Hf31ZnO64 (PBE)

Data for a relaxed Hf31ZnO64 crystal.

abc: 10.213 10.301 10.543
angles: 90.08 99.64 90.11
Each line ends with the local moment (μB).
Positions (direct):
Hf (0.517, 0.354, 0.101)  0.00
Hf (0.514, 0.854, 0.103)  0.00
Hf (0.014, 0.854, 0.104)  0.00
Hf (0.015, 0.352, 0.104)  -0.01
Hf (0.734, 0.604, 0.143)  -0.01
Hf (0.735, 0.104, 0.146)  0.00
Hf (0.237, 0.604, 0.146)  0.00
Hf (0.238, 0.104, 0.146)  0.00
Hf (0.014, 0.646, 0.353)  0.00
Hf (0.514, 0.646, 0.354)  0.00
Hf (0.514, 0.147, 0.354)  0.00
Hf (0.014, 0.145, 0.355)  0.00
Hf (0.736, 0.395, 0.395)  0.00
Hf (0.236, 0.896, 0.397)  0.00
Hf (0.237, 0.396, 0.397)  0.00
Hf (0.736, 0.896, 0.397)  0.00
Hf (0.014, 0.354, 0.604)  0.00
Hf (0.514, 0.854, 0.605)  0.00
Hf (0.012, 0.854, 0.605)  0.00
Hf (0.515, 0.357, 0.606)  0.00
Hf (0.236, 0.605, 0.647)  0.00
Hf (0.237, 0.105, 0.647)  0.00
Hf (0.735, 0.108, 0.647)  0.00
Hf (0.734, 0.602, 0.648)  0.00
Hf (0.518, 0.641, 0.854)  0.00
Hf (0.010, 0.643, 0.854)  0.00
Hf (0.014, 0.146, 0.854)  0.01
Hf (0.517, 0.149, 0.855)  0.00
Hf (0.736, 0.896, 0.895)  0.00
Hf (0.238, 0.894, 0.896)  0.00
Hf (0.236, 0.396, 0.896)  0.00
O (0.652, 0.747, 0.009)  0.00
O (0.151, 0.746, 0.010)  0.00
O (0.155, 0.246, 0.011)  0.01
O (0.648, 0.241, 0.013)  0.01
O (0.842, 0.961, 0.077)  0.00
O (0.343, 0.461, 0.077)  0.02
O (0.342, 0.959, 0.077)  0.01
O (0.845, 0.460, 0.084)  0.25
O (0.908, 0.711, 0.172)  0.00
O (0.409, 0.211, 0.173)  0.01
O (0.409, 0.710, 0.173)  0.01
O (0.909, 0.209, 0.174)  0.01
O (0.599, 0.497, 0.240)  0.00
O (0.099, 0.996, 0.240)  0.00
O (0.598, 0.996, 0.240)  0.00
O (0.100, 0.496, 0.240)  0.00
O (0.652, 0.753, 0.260)  0.00
O (0.152, 0.754, 0.260)  0.00
O (0.152, 0.253, 0.260)  0.00
O (0.652, 0.253, 0.261)  0.00
O (0.843, 0.537, 0.324)  0.09
O (0.342, 0.040, 0.327)  0.01
O (0.342, 0.540, 0.327)  0.01
O (0.842, 0.039, 0.328)  0.00
O (0.408, 0.790, 0.423)  0.01
O (0.909, 0.289, 0.423)  0.01
O (0.408, 0.290, 0.424)  0.01
O (0.907, 0.788, 0.424)  0.01
O (0.600, 0.502, 0.487)  0.00
O (0.097, 0.504, 0.490)  0.00
O (0.099, 0.003, 0.490)  0.00
O (0.598, 0.004, 0.490)  0.00
O (0.652, 0.247, 0.510)  0.00
O (0.151, 0.747, 0.510)  0.00
O (0.650, 0.746, 0.510)  0.00
O (0.151, 0.246, 0.510)  0.00
O (0.842, 0.461, 0.576)  0.02
O (0.342, 0.962, 0.577)  0.01
O (0.339, 0.460, 0.577)  0.01
O (0.841, 0.961, 0.578)  0.00
O (0.909, 0.211, 0.673)  0.01
O (0.406, 0.714, 0.674)  0.01
O (0.408, 0.212, 0.674)  0.03
O (0.907, 0.710, 0.674)  0.01
O (0.586, 0.507, 0.729)  0.01
O (0.099, 0.996, 0.740)  0.01
O (0.598, 0.998, 0.740)  0.00
O (0.098, 0.496, 0.740)  0.00
O (0.650, 0.257, 0.759)  0.05
O (0.651, 0.756, 0.760)  0.00
O (0.150, 0.753, 0.760)  0.00
O (0.152, 0.254, 0.760)  0.00
O (0.841, 0.040, 0.827)  0.00
O (0.341, 0.540, 0.827)  0.01
O (0.342, 0.039, 0.827)  0.01
O (0.838, 0.540, 0.828)  0.03
O (0.908, 0.790, 0.923)  0.00
O (0.407, 0.289, 0.923)  0.01
O (0.409, 0.787, 0.923)  0.02
O (0.915, 0.289, 0.926)  0.07
O (0.598, 0.001, 0.989)  0.00
O (0.099, 0.003, 0.990)  0.00
O (0.099, 0.503, 0.991)  0.00
O (0.599, 0.503, 0.992)  0.05
Zn (0.745, 0.386, 0.902)  0.06

Values from the calculation:
Symmetry ... No. 1



[9]
## HfZnO3 (PBE)

Data for a relaxed HfZnO3 crystal.

abc: 5.663 5.663 5.663
angles: 56.28 56.28 56.28
Positions (direct):
Hf (0.000, 0.000, 0.000)
Hf (0.500, 0.500, 0.500)
O (0.750, 0.388, 0.112)
O (0.612, 0.888, 0.250)
O (0.112, 0.750, 0.388)
O (0.888, 0.250, 0.612)
O (0.388, 0.112, 0.750)
O (0.250, 0.612, 0.888)
Zn (0.250, 0.250, 0.250)
Zn (0.750, 0.750, 0.750)

Values from the calculation:
Symmetry ... No. 167



[10]
## Hf2Zn2O5 (PBE)

Data for a relaxed Hf2Zn2O5 crystal.

abc: 8.198 3.630 3.630
angles: 90.00 90.00 90.00
Each line ends with the local moment (μB).
Positions (direct):
Hf (0.000, 0.000, 0.000)  0.02
Hf (0.500, 0.000, 0.000)  0.65
O (0.152, 0.500, 0.000)  0.02
O (0.848, 0.500, 0.000)  0.02
O (0.152, 0.000, 0.500)  0.03
O (0.848, 0.000, 0.500)  0.03
O (0.500, 0.500, 0.500)  0.00
Zn (0.247, 0.500, 0.500)  0.00
Zn (0.753, 0.500, 0.500)  0.00

Values from the calculation:
Symmetry ... No. 123



Computed total DFT energy (no corrections), in the same sequence as the records: -0.3138 -0.3347 -0.3364 -0.3678 -0.3470 -0.3560 -0.3676 -0.3665 -0.2883 -0.2526 Ha/atom.